Compound: HoAlZn6Ag
Source: Alexandria
Functional: PBE-GGA
Structure: optimized geometry

DOS(E_F), states/eV/cell: 6.9
Total moment, μB/f.u.: 0.00
Electronic total energy, eV per formula unit: -17.30
Formation energy, eV/atom: 0.168

a b c (Å): 8.9149 8.9149 8.9149
angles (deg): 145.67 111.74 78.68
With the nearest neighbours (Å) after each atom.
Element x y z (fractional)
1 Ho 0.4240 0.1740 0.2500  7 Zn 2.95-3.11
2 Ho 0.5760 0.8260 0.7500  7 Zn 2.95-3.11
3 Al 0.0000 0.5000 0.5000  6 Zn 2.54-2.72
4 Al 0.5000 0.5000 0.0000  6 Zn 2.54-2.72
5 Zn 0.1420 0.4038 0.2330  1 Al 2.54, 3 Zn 2.58-2.66, 1 Ag 2.69
6 Zn 0.1420 0.9091 0.7382  1 Al 2.54, 3 Zn 2.58-2.66, 1 Ag 2.69
7 Zn 0.1982 0.9482 0.2500  2 Ag 3.03, 6 Zn 3.05-3.17, 1 Ho 3.11
8 Zn 0.3267 0.5767 0.7500  2 Al 2.72, 2 Ho 2.95
9 Zn 0.3292 0.0909 0.7330  1 Al 2.54, 3 Zn 2.58-2.66, 1 Ag 2.69
10 Zn 0.3292 0.5962 0.2382  1 Al 2.54, 3 Zn 2.58-2.66, 1 Ag 2.69
11 Zn 0.6708 0.4038 0.7618  1 Al 2.54, 3 Zn 2.58-2.66, 1 Ag 2.69
12 Zn 0.6708 0.9091 0.2670  1 Al 2.54, 3 Zn 2.58-2.66, 1 Ag 2.69
13 Zn 0.6733 0.4233 0.2500  2 Al 2.72, 2 Ho 2.95
14 Zn 0.8018 0.0518 0.7500  2 Ag 3.03, 6 Zn 3.05-3.17, 1 Ho 3.11
15 Zn 0.8580 0.0909 0.2618  1 Al 2.54, 3 Zn 2.58-2.66, 1 Ag 2.69
16 Zn 0.8580 0.5962 0.7670  1 Al 2.54, 3 Zn 2.58-2.66, 1 Ag 2.69
17 Ag 0.0000 0.0000 0.5000  2 Ag 2.63, 4 Zn 2.69
18 Ag 0.0000 0.5000 0.0000  2 Ag 2.63, 4 Zn 2.69